DFT (PBE) results for an optimized crystal structure of TlCr2Ir.

Properties
- SG: No. 122
- Crystal system: tetragonal
- Formation enthalpy at 0 K: 0.827 eV per atom
- Raw total energy: -54.33 eV per cell
- E above lowest polymorph: 452.5 meV per atom

extended XYZ file:
```
8
Lattice="-3.6723 3.6723 2.7890 3.6723 -3.6723 2.7890 3.6723 3.6723 -2.7890" Properties=species:S:1:pos:R:3 pbc="T T T"
Tl 0.0000 0.0000 0.0000
Tl 0.0000 3.6723 1.3945
Cr 1.8362 -1.5086 2.0917
Cr 2.1637 1.8362 0.6972
Cr 1.8362 5.1810 -0.6972
Cr 1.5086 1.8362 3.4862
Ir 3.6723 0.0000 1.3945
Ir 0.0000 0.0000 2.7890
```

DFT (PBE) results for an optimized crystal structure of Cd2AgAu.

Properties
- SG: No. 25
- Crystal system: orthorhombic
- Formation enthalpy at 0 K: -0.108 eV per atom
- Raw total energy: -8.39 eV per cell
- E above lowest polymorph: 21.7 meV per atom

extended XYZ file:
```
4
Lattice="3.2051 0.0000 0.0000 0.0000 4.8642 0.0000 0.0000 0.0000 4.9747" Properties=species:S:1:pos:R:3 pbc="T T T"
Cd 0.0000 0.0000 0.0000
Cd 0.0000 2.4321 1.9773
Ag 1.6025 2.4321 4.4493
Au 1.6025 0.0000 2.5271
```

DFT (PBE) results for an optimized crystal structure of FeCuSb3.

Properties
- SG: No. 221
- Crystal system: cubic
- ΔE_f (raw): 590 meV per atom
- Raw total energy: -21.98 eV per cell
- E above lowest polymorph: 0.0 meV per atom

extended XYZ file:
```
5
Lattice="4.8993 0.0000 0.0000 0.0000 4.8993 0.0000 0.0000 0.0000 4.8993" Properties=species:S:1:pos:R:3 pbc="T T T"
Fe 0.0000 0.0000 0.0000
Cu 2.4496 2.4496 2.4496
Sb 0.0000 0.0000 2.4496
Sb 0.0000 2.4496 0.0000
Sb 2.4496 0.0000 0.0000
```

> Which formula does entry 3 have?

FeCuSb3